Record 1
Pm2SnHg4: relaxed, PBE.

Its energy of formation from the pure elements is -286 meV per atom. The density of states at the Fermi level is 4.219 states/eV/f.u. For the total DFT energy (no corrections), the calculation gives -2.39 eV per atom. The energy relative to the lowest polymorph listed for this composition comes out at 2.450 kcal/mol of atoms. The magnetic moment comes out at 0.000 μB per formula unit.

It has space group I4/mmm (No. 139), with a = 4.350 Å, b = 4.350 Å, c = 19.741 Å, α = 90.00°, β = 90.00° and γ = 90.00°. The distinct sites, in fractional coordinates, are Pm at (0.000, 0.000, 0.092), Sn at (0.000, 0.000, 0.500), Hg at (0.000, 0.000, 0.353) and Hg at (0.000, 0.500, 0.250).



Record 2
Pm6SnHg2: relaxed, PBE.

Its energy of formation from the pure elements is -330 meV per atom. The density of states at the Fermi level is 11.783 states/eV/f.u. For the total DFT energy (no corrections), the calculation gives -4.01 eV per atom. The magnetic moment comes out at 0.000 μB per formula unit.

It has space group Immm (No. 71), with a = 9.693 Å, b = 10.064 Å, c = 11.546 Å, α = 90.00°, β = 90.00° and γ = 90.00°. The distinct sites, in fractional coordinates, are Pm at (0.000, 0.195, 0.232), Pm at (0.211, 0.311, 0.500), Pm at (0.212, 0.500, 0.173), Sn at (0.000, 0.000, 0.000), Sn at (0.000, 0.000, 0.500), Hg at (0.000, 0.347, 0.000) and Hg at (0.000, 0.500, 0.369).



Record 3
Pm5Sn3Hg: relaxed, PBE.

Its energy of formation from the pure elements is -692 meV per atom. The density of states at the Fermi level is 9.198 states/eV/f.u. For the total DFT energy (no corrections), the calculation gives -4.70 eV per atom. The magnetic moment comes out at 0.001 μB per formula unit.

It has space group P6_3/mcm (No. 193), with a = 9.5350 Å, b = 9.5350 Å, c = 6.7054 Å, α = 90.00°, β = 90.00° and γ = 120.00°. The distinct sites, in fractional coordinates, are Pm at (0.0000, 0.2824, 0.2500), Pm at (0.3333, 0.6667, 0.0000), Sn at (0.0000, 0.3741, 0.7500) and Hg at (0.0000, 0.0000, 0.0000).



Record 4
PmSnHg: relaxed, PBE.

Its energy of formation from the pure elements is -401 meV per atom. The density of states at the Fermi level is 1.928 states/eV/f.u. For the total DFT energy (no corrections), the calculation gives -3.42 eV per atom. The energy relative to the lowest polymorph listed for this composition comes out at 2.832 kcal/mol of atoms. The magnetic moment comes out at 0.000 μB per formula unit.

It has space group F-43m (No. 216), with a = 7.051 Å, b = 7.051 Å, c = 7.051 Å, α = 90.00°, β = 90.00° and γ = 90.00°. The distinct sites, in fractional coordinates, are Pm at (0.000, 0.000, 0.000), Sn at (0.000, 0.000, 0.500) and Hg at (0.250, 0.250, 0.250).



Record 5
PmSnHg: relaxed, PBE.

Its energy of formation from the pure elements is -500 meV per atom. The density of states at the Fermi level is 1.966 states/eV/f.u. For the total DFT energy (no corrections), the calculation gives -3.52 eV per atom. The energy relative to the lowest polymorph listed for this composition comes out at 0.549 kcal/mol of atoms. The magnetic moment comes out at 0.000 μB per formula unit.

It has space group Imm2 (No. 44), with a = 4.666 Å, b = 7.442 Å, c = 9.190 Å, α = 90.00°, β = 90.00° and γ = 90.00°. The distinct sites, in fractional coordinates, are Pm at (0.000, 0.000, 0.000), Pm at (0.000, 0.500, 0.111), Sn at (0.000, 0.211, 0.395) and Hg at (0.000, 0.300, 0.711).



Record 6
PmSnHg3: relaxed, PBE.

Its energy of formation from the pure elements is -150 meV per atom. The density of states at the Fermi level is 3.138 states/eV/f.u. For the total DFT energy (no corrections), the calculation gives -2.08 eV per atom. The energy relative to the lowest polymorph listed for this composition comes out at 1.671 kcal/mol of atoms. The magnetic moment comes out at 0.000 μB per formula unit.

It has space group Pmmn (No. 59, origin choice 2), with a = 4.827 Å, b = 9.869 Å, c = 6.657 Å, α = 90.00°, β = 90.00° and γ = 90.00°. The distinct sites, in fractional coordinates, are Pm at (0.250, 0.250, 0.130), Sn at (0.250, 0.250, 0.649), Hg at (0.250, 0.518, 0.847) and Hg at (0.250, 0.750, 0.559).



Record 7
Pm5Sn6Hg: relaxed, PBE.

Its energy of formation from the pure elements is -620 meV per atom. The density of states at the Fermi level is 7.210 states/eV/f.u. For the total DFT energy (no corrections), the calculation gives -4.63 eV per atom. The magnetic moment comes out at 0.000 μB per formula unit.

It has space group Immm (No. 71), with a = 4.817 Å, b = 9.291 Å, c = 14.880 Å, α = 90.00°, β = 90.00° and γ = 90.00°. The distinct sites, in fractional coordinates, are Pm at (0.000, 0.000, 0.000), Pm at (0.000, 0.000, 0.356), Pm at (0.000, 0.500, 0.329), Sn at (0.000, 0.245, 0.171), Sn at (0.000, 0.264, 0.500) and Hg at (0.000, 0.500, 0.000).



Record 8
Pm3Sn2Hg3: relaxed, PBE.

Its energy of formation from the pure elements is -528 meV per atom. The density of states at the Fermi level is 6.622 states/eV/f.u. For the total DFT energy (no corrections), the calculation gives -3.42 eV per atom. The magnetic moment comes out at 0.001 μB per formula unit.

It has space group Cmcm (No. 63), with a = 4.584 Å, b = 11.779 Å, c = 16.200 Å, α = 90.00°, β = 90.00° and γ = 90.00°. The distinct sites, in fractional coordinates, are Pm at (0.000, 0.066, 0.109), Pm at (0.000, 0.343, 0.250), Sn at (0.000, 0.222, 0.616), Hg at (0.000, 0.380, 0.034) and Hg at (0.000, 0.398, 0.750).



Record 9
Pm3Sn2Hg6: relaxed, PBE.

Its energy of formation from the pure elements is -316 meV per atom. The density of states at the Fermi level is 8.011 states/eV/f.u. For the total DFT energy (no corrections), the calculation gives -2.50 eV per atom. The magnetic moment comes out at 0.000 μB per formula unit.

It has space group I4/mmm (No. 139), with a = 4.404 Å, b = 4.404 Å, c = 32.024 Å, α = 90.00°, β = 90.00° and γ = 90.00°. The distinct sites, in fractional coordinates, are Pm at (0.000, 0.000, 0.000), Pm at (0.000, 0.000, 0.166), Sn at (0.000, 0.000, 0.357), Hg at (0.000, 0.000, 0.265) and Hg at (0.000, 0.500, 0.072).



Record 10
Pm6Sn3Hg: relaxed, PBE.

Its energy of formation from the pure elements is -444 meV per atom. The density of states at the Fermi level is 7.062 states/eV/f.u. For the total DFT energy (no corrections), the calculation gives -4.53 eV per atom. The magnetic moment comes out at 0.000 μB per formula unit.

It has space group Cmc2_1 (No. 36), with a = 11.780 Å, b = 15.800 Å, c = 6.787 Å, α = 90.00°, β = 90.00° and γ = 90.00°. The distinct sites, in fractional coordinates, are Pm at (0.000, 0.068, 0.000), Pm at (0.000, 0.283, 0.229), Pm at (0.203, 0.463, 0.267), Pm at (0.229, 0.290, 0.605), Sn at (0.000, 0.420, 0.577), Sn at (0.128, 0.111, 0.432) and Hg at (0.000, 0.237, 0.783).



Record 11
Pm8Sn4Hg3: relaxed, PBE.

Its energy of formation from the pure elements is -390 meV per atom. The density of states at the Fermi level is 14.738 states/eV/f.u. For the total DFT energy (no corrections), the calculation gives -4.05 eV per atom. The magnetic moment comes out at 0.000 μB per formula unit.

It has space group C2/m (No. 12), with a = 12.714 Å, b = 12.625 Å, c = 7.584 Å, α = 90.00°, β = 126.44° and γ = 90.00°. The distinct sites, in fractional coordinates, are Pm at (0.000, 0.243, 0.000), Pm at (0.000, 0.253, 0.500), Pm at (0.247, 0.500, 0.997), Pm at (0.249, 0.500, 0.497), Sn at (0.000, 0.500, 0.000), Sn at (0.000, 0.500, 0.500), Sn at (0.250, 0.250, 0.000), Hg at (0.000, 0.000, 0.500) and Hg at (0.250, 0.250, 0.500).



Record 12
Pm7Sn2Hg2: relaxed, PBE.

Its energy of formation from the pure elements is -192 meV per atom. The density of states at the Fermi level is 14.384 states/eV/f.u. For the total DFT energy (no corrections), the calculation gives -4.00 eV per atom. The magnetic moment comes out at 0.000 μB per formula unit.

It has space group Cmmm (No. 65), with a = 8.232 Å, b = 11.481 Å, c = 7.636 Å, α = 90.00°, β = 90.00° and γ = 90.00°. The distinct sites, in fractional coordinates, are Pm at (0.000, 0.000, 0.000), Pm at (0.000, 0.500, 0.253), Pm at (0.250, 0.250, 0.288), Sn at (0.177, 0.000, 0.500) and Hg at (0.000, 0.283, 0.000).